LiThCu4: relaxed, PBE-GGA.

## Properties
- total magnetization (μB/f.u.) = 0.0
- calculated density (g/cm³) = 8.69
- E_tot (eV/atom) = -4.169

Unit cell a=5.1071 b=5.1071 c=5.1071 alpha=60.00 beta=60.00 gamma=60.00
Last column: nearest neighbours and their distance in Å.
Fractional coordinates of all 6 atoms:
Li (0.0000, 0.0000, 0.0000)  12 Cu 2.99, 4 Th 3.13
Th (0.2500, 0.2500, 0.2500)  12 Cu 3.00, 4 Li 3.13
Cu (0.1176, 0.6275, 0.6275)  6 Cu 2.50-2.60
Cu (0.6275, 0.1176, 0.6275)  6 Cu 2.50-2.60
Cu (0.6275, 0.6275, 0.1176)  6 Cu 2.50-2.60
Cu (0.6275, 0.6275, 0.6275)  6 Cu 2.50-2.60